No. 1
{
  "formula": "Y2VCdPd",
  "functional": "PBE",
  "state": "relaxed",
  "lattice": [[-3.061, 4.326, 0.157], [-4.246, -3.038, 0.923], [0.809, 0.391, 5.005]],
  "species": ["Pd", "Y", "Y", "Cd", "V"],
  "fractional_positions": [[0.000, 0.000, 0.000], [0.500, 0.000, 0.000], [0.000, 0.500, 0.000], [0.000, 0.000, 0.500], [0.500, 0.500, 0.500]],
  "formation_energy_ev_per_atom": 0.523
}

---

No. 2
{
  "formula": "AlCr2Cl",
  "functional": "PBE",
  "state": "relaxed",
  "lattice": [[-0.823, 4.247, 0.820], [-2.477, 3.344, -1.439], [-6.291, 2.293, 3.690]],
  "species": ["Cl", "Al", "Cr", "Cr"],
  "fractional_positions": [[0.250, 0.250, 0.250], [0.750, 0.750, 0.750], [0.565, 0.565, 0.571], [0.935, 0.935, 0.929]],
  "de_polymorph_mev_per_atom": 244,
  "formation_energy_uncorrected_ev_per_fu": 1.05
}

---

No. 3
{
  "formula": "CePrDy2In4",
  "functional": "PBE",
  "state": "relaxed",
  "lattice": [[5.403, 0.000, 0.000], [2.702, 4.679, 0.000], [2.702, 1.560, 8.849]],
  "species": ["Pr", "In", "In", "In", "In", "Dy", "Dy", "Ce"],
  "fractional_positions": [[0.000, 0.000, 0.000], [0.375, 0.375, 0.874], [0.875, 0.875, 0.376], [0.625, 0.625, 0.126], [0.125, 0.125, 0.624], [0.750, 0.750, 0.750], [0.250, 0.250, 0.250], [0.500, 0.500, 0.500]],
  "formation_energy_ev_per_atom": -0.438
}

---

No. 4
{
  "formula": "Ca2CuSi",
  "functional": "PBE",
  "state": "relaxed",
  "lattice": [[3.437, 0.000, 0.000], [0.000, 3.491, 0.004], [0.000, 3.474, 7.539]],
  "species": ["Ca", "Ca", "Cu", "Si"],
  "fractional_positions": [[0.000, 0.501, 0.499], [0.000, 0.999, 0.001], [0.500, 0.250, 0.250], [0.500, 0.750, 0.750]],
  "formation_energy_uncorrected_ev_per_fu": -0.77
}

---

No. 5
{
  "formula": "GdDyErIn",
  "functional": "PBE",
  "state": "relaxed",
  "lattice": [[5.444, 0.000, 0.000], [2.722, 4.714, 0.000], [2.722, 1.571, 4.445]],
  "species": ["Er", "Dy", "Gd", "In"],
  "fractional_positions": [[0.750, 0.750, 0.750], [0.500, 0.500, 0.500], [0.000, 0.000, 0.000], [0.250, 0.250, 0.250]],
  "formation_energy_ev_per_atom": -0.153
}

---

No. 6
{
  "formula": "Sc3In2",
  "functional": "PBE",
  "state": "relaxed",
  "lattice": [[-2.710, 3.111, -2.649], [-1.823, -1.949, 4.113], [2.256, 4.722, 3.238]],
  "species": ["In", "In", "Sc", "Sc", "Sc"],
  "fractional_positions": [[0.333, 0.667, 0.821], [0.667, 0.333, 0.179], [0.333, 0.667, 0.344], [0.667, 0.333, 0.656], [0.000, 0.000, 0.000]],
  "de_polymorph_mev_per_atom": 207,
  "formation_energy_ev_per_atom": -0.164
}

---

No. 7
{
  "formula": "YMg4Cd5",
  "functional": "PBE",
  "state": "relaxed",
  "lattice": [[-1.158, -3.088, -1.490], [0.933, -1.797, 3.000], [-15.633, 2.727, 6.494]],
  "species": ["Cd", "Cd", "Cd", "Cd", "Cd", "Mg", "Mg", "Mg", "Mg", "Y"],
  "fractional_positions": [[0.500, 0.500, 0.309], [0.500, 0.500, 0.500], [0.500, 0.500, 0.117], [0.500, 0.500, 0.691], [0.500, 0.500, 0.883], [0.000, 0.000, 0.212], [0.000, 0.000, 0.788], [0.000, 0.000, 0.596], [0.000, 0.000, 0.404], [0.000, 0.000, 0.000]],
  "formation_energy_ev_per_atom": -0.160
}

---

No. 8
{
  "formula": "TbPr2Zr",
  "functional": "PBE",
  "state": "relaxed",
  "lattice": [[4.103, 0.000, 0.000], [0.000, 4.103, 0.000], [0.000, 0.000, 7.388]],
  "species": ["Pr", "Pr", "Zr", "Tb"],
  "fractional_positions": [[0.000, 0.000, 0.225], [0.000, 0.000, 0.775], [0.500, 0.500, 0.000], [0.500, 0.500, 0.500]],
  "de_polymorph_mev_per_atom": 39,
  "formation_energy_ev_per_atom": 0.177
}

---

No. 9
{
  "formula": "La3TmPb2",
  "functional": "PBE",
  "state": "relaxed",
  "lattice": [[-2.450, -3.023, 2.749], [3.541, -3.171, -0.330], [3.819, 3.508, 7.262]],
  "species": ["Pb", "Pb", "Tm", "La", "La", "La"],
  "fractional_positions": [[0.000, 0.500, 0.277], [0.500, 0.000, 0.723], [0.500, 0.500, 0.000], [0.500, 0.000, 0.346], [0.000, 0.500, 0.654], [0.000, 0.000, 0.000]],
  "de_polymorph_mev_per_atom": 8,
  "formation_energy_ev_per_atom": -0.447
}

---

No. 10
{
  "formula": "SmEr6Tm8",
  "functional": "PBE",
  "state": "relaxed",
  "lattice": [[8.918, 0.000, 0.000], [4.459, 7.723, 0.000], [4.459, 2.574, 6.768]],
  "species": ["Er", "Er", "Er", "Er", "Er", "Er", "Sm", "Tm", "Tm", "Tm", "Tm", "Tm", "Tm", "Tm", "Tm"],
  "fractional_positions": [[0.539, 0.113, 0.123], [0.224, 0.539, 0.123], [0.461, 0.887, 0.877], [0.776, 0.461, 0.877], [0.113, 0.224, 0.123], [0.887, 0.776, 0.877], [0.000, 0.000, 0.000], [0.890, 0.258, 0.573], [0.258, 0.279, 0.573], [0.279, 0.890, 0.573], [0.742, 0.721, 0.427], [0.721, 0.110, 0.427], [0.110, 0.742, 0.427], [0.424, 0.424, 0.729], [0.576, 0.576, 0.271]],
  "de_polymorph_mev_per_atom": 0,
  "formation_energy_ev_per_atom": 0.137
}

---

No. 11
{
  "formula": "Li2CePb2",
  "functional": "PBE",
  "state": "relaxed",
  "lattice": [[4.714, 0.000, 0.000], [-2.357, 3.868, -1.288], [0.000, -0.470, 7.154]],
  "species": ["Ce", "Pb", "Pb", "Li", "Li"],
  "fractional_positions": [[0.500, 0.500, 0.000], [0.078, 0.655, 0.733], [0.922, 0.345, 0.267], [0.690, 0.881, 0.571], [0.310, 0.119, 0.429]],
  "de_polymorph_mev_per_atom": 6,
  "formation_energy_ev_per_atom": -0.314
}

---

No. 12
{
  "formula": "NbZnOs",
  "functional": "PBE",
  "state": "relaxed",
  "lattice": [[2.781, 0.000, 0.000], [0.000, 4.420, 0.000], [0.000, -2.210, 3.828]],
  "species": ["Os", "Nb", "Zn"],
  "fractional_positions": [[0.315, 0.667, 0.333], [0.622, 0.333, 0.667], [0.063, 0.000, 0.000]],
  "formation_energy_ev_per_atom": -0.029
}